MnCu3Pd3 | PBE | relaxed

Unit cell a=5.2124 b=5.1559 c=5.2124 alpha=109.25 beta=109.69 gamma=109.25
Sites, in units of the cell vectors:
Cu1 0.0000 0.0037 0.4999
Cu2 0.4999 0.0037 0.0000
Cu3 0.5001 0.5039 0.5001
Mn1 0.0000 0.5026 0.0000
Pd1 0.0000 0.5038 0.5002
Pd2 0.5002 0.5038 0.0000
Pd3 0.4998 0.0036 0.4998

- Calculated formation energy: 3 kJ/mol of formula units
- DOS(E_F): 0.538 states/eV/atom
- Uncorrected energy: -37.01 eV/f.u.
- SG: R3m, No. 160
- Calculated density: 8.67 g/cm3
- Spin magnetization: 4.58 μB/cell